(1)
# Ba4In3Pd2

A relaxed Ba4In3Pd2 crystal (PBE, Alexandria).

- formation enthalpy at 0 K (eV per atom) = -0.465
- calculated volume (Å³ per cell) = 314
- energy (eV per atom) = -3.3862

Unit cell a=9.3879 b=9.3879 c=8.3267 alpha=110.48 beta=110.48 gamma=27.30
Element x y z (fractional)
1 Ba 0.0748 0.0748 0.3785
2 Ba 0.2733 0.2733 0.8158
3 Ba 0.7267 0.7267 0.1842
4 Ba 0.9252 0.9252 0.6215
5 In 0.4015 0.4015 0.2544
6 In 0.5000 0.5000 0.0000
7 In 0.5985 0.5985 0.7456
8 Pd 0.0902 0.0902 0.9512
9 Pd 0.9098 0.9098 0.0488

***

(2)
# La4Tl5Cu2

A relaxed La4Tl5Cu2 crystal (PBE, Alexandria).

- formation enthalpy at 0 K (eV per atom) = -0.289
- calculated volume (Å³ per cell) = 315
- energy (eV per atom) = -3.9012

Unit cell a=8.1436 b=3.8950 c=9.9439 alpha=90.00 beta=93.58 gamma=90.00
Element x y z (fractional)
1 La 0.1947 0.0000 0.3519
2 La 0.2278 0.0000 0.9235
3 La 0.7722 0.0000 0.0765
4 La 0.8053 0.0000 0.6481
5 Tl 0.1494 0.5000 0.6409
6 Tl 0.4465 0.5000 0.1656
7 Tl 0.5000 0.5000 0.5000
8 Tl 0.5535 0.5000 0.8344
9 Tl 0.8506 0.5000 0.3591
10 Cu 0.0688 0.5000 0.1209
11 Cu 0.9312 0.5000 0.8791

***

(3)
# AgRhSe2

A relaxed AgRhSe2 crystal (PBE, Alexandria).

- calculated volume (Å³ per cell) = 315
- energy (eV per atom) = -4.4127
- formation energy without anion corrections (eV per formula unit) = -0.479

Unit cell a=6.1984 b=3.6664 c=13.8675 alpha=90.00 beta=90.00 gamma=90.00
Element x y z (fractional)
1 Ag 0.2128 0.2500 0.1579
2 Ag 0.2872 0.7500 0.6579
3 Ag 0.7128 0.2500 0.3421
4 Ag 0.7872 0.7500 0.8421
5 Rh 0.0562 0.7500 0.3857
6 Rh 0.4438 0.2500 0.8857
7 Rh 0.5562 0.7500 0.1143
8 Rh 0.9438 0.2500 0.6143
9 Se 0.0894 0.2500 0.7922
10 Se 0.2189 0.2500 0.4813
11 Se 0.2811 0.7500 0.9813
12 Se 0.4106 0.7500 0.2922
13 Se 0.5894 0.2500 0.7078
14 Se 0.7189 0.2500 0.0187
15 Se 0.7811 0.7500 0.5187
16 Se 0.9106 0.7500 0.2078

***

(4)
# Sc2UTl

A relaxed Sc2UTl crystal (PBE, Alexandria).

- formation enthalpy at 0 K (eV per atom) = 0.027
- calculated volume (Å³ per cell) = 93
- energy (eV per atom) = -6.5528

Unit cell a=3.2128 b=3.2128 c=8.9615 alpha=90.00 beta=90.00 gamma=90.00
Element x y z (fractional)
1 Sc 0.0000 0.0000 0.2442
2 Sc 0.0000 0.0000 0.7558
3 U 0.5000 0.5000 0.5000
4 Tl 0.5000 0.5000 0.0000

***

(5)
# TlSb2Pb

A relaxed TlSb2Pb crystal (PBE, Alexandria).

- calculated volume (Å³ per cell) = 123
- energy (eV per atom) = -3.5279
- formation energy without anion corrections (eV per formula unit) = 0.208

Unit cell a=5.9641 b=5.9641 c=5.7130 alpha=107.79 beta=107.79 gamma=39.82
Element x y z (fractional)
1 Tl 0.0000 0.0000 0.0000
2 Sb 0.2391 0.2391 0.7228
3 Sb 0.5295 0.5295 0.5315
4 Pb 0.7682 0.7682 0.2898

***

(6)
# Ba2SrP2N6

A relaxed Ba2SrP2N6 crystal (PBE, Alexandria).

- calculated volume (Å³ per cell) = 206
- energy (eV per atom) = -6.6039
- formation energy without anion corrections (eV per formula unit) = -6.343

Unit cell a=7.5066 b=7.5066 c=7.5066 alpha=46.94 beta=46.94 gamma=46.94
Element x y z (fractional)
1 Ba 0.2032 0.2032 0.2032
2 Ba 0.7968 0.7968 0.7968
3 Sr 0.0000 0.0000 0.0000
4 P 0.4227 0.4227 0.4227
5 P 0.5773 0.5773 0.5773
6 N 0.2712 0.2712 0.7277
7 N 0.2712 0.7277 0.2712
8 N 0.2723 0.7288 0.7288
9 N 0.7277 0.2712 0.2712
10 N 0.7288 0.2723 0.7288
11 N 0.7288 0.7288 0.2723

***

(7)
# La12InNi5

A relaxed La12InNi5 crystal (PBE, Alexandria).

- formation enthalpy at 0 K (eV per atom) = -0.275
- calculated volume (Å³ per cell) = 523
- energy (eV per atom) = -5.3175

Unit cell a=8.7989 b=8.7989 c=8.7989 alpha=112.43 beta=109.84 gamma=106.20
Element x y z (fractional)
1 La 0.0151 0.2007 0.8144
2 La 0.1789 0.3059 0.4847
3 La 0.1789 0.6941 0.8730
4 La 0.3265 0.0152 0.6887
5 La 0.3265 0.6377 0.3113
6 La 0.3863 0.2007 0.1856
7 La 0.6137 0.7993 0.8144
8 La 0.6735 0.3623 0.6887
9 La 0.6735 0.9848 0.3113
10 La 0.8211 0.3059 0.1270
11 La 0.8211 0.6941 0.5153
12 La 0.9849 0.7993 0.1856
13 In 0.5000 0.5000 0.0000
14 Ni 0.0000 0.0000 0.0000
15 Ni 0.1260 0.6260 0.5000
16 Ni 0.3660 0.0000 0.3660
17 Ni 0.6340 0.0000 0.6340
18 Ni 0.8740 0.3740 0.5000

***

(8)
# La2PrPbC

A relaxed La2PrPbC crystal (PBE, Alexandria).

- formation enthalpy at 0 K (eV per atom) = -0.408
- calculated volume (Å³ per cell) = 143
- energy (eV per atom) = -5.9209

Unit cell a=5.2247 b=5.2247 c=5.2249 alpha=90.00 beta=90.00 gamma=90.00
Element x y z (fractional)
1 La 0.0000 0.5000 0.0000
2 La 0.5000 0.0000 0.0000
3 Pr 0.0000 0.0000 0.5000
4 Pb 0.5000 0.5000 0.5000
5 C 0.0000 0.0000 0.0000